# 1
{
  "formula": "BaSiAu2",
  "functional": "meta-GGA SCAN",
  "state": "single point on PBEsol structure",
  "space_group": "Imm2",
  "lattice_angstrom": [[-2.2061, 3.0080, 3.8345], [2.2061, -3.0080, 3.8345], [2.2061, 3.0080, -3.8345]],
  "species": ["Ba", "Si", "Au", "Au"],
  "fractional_positions": [[0.0000, 0.0000, 0.0000], [0.3189, 0.8189, 0.5000], [0.4470, 0.4470, 0.0000], [0.6676, 0.1676, 0.5000]]
}



# 2
{
  "formula": "Ba4Si22Au",
  "functional": "meta-GGA SCAN",
  "state": "single point on PBEsol structure",
  "space_group": "Ama2",
  "lattice_angstrom": [[10.3883, 0.0000, 0.0000], [0.0000, 7.2890, 7.2920], [0.0000, -7.2890, 7.2920]],
  "species": ["Ba", "Ba", "Ba", "Ba", "Ba", "Ba", "Ba", "Ba", "Si", "Si", "Si", "Si", "Si", "Si", "Si", "Si", "Si", "Si", "Si", "Si", "Si", "Si", "Si", "Si", "Si", "Si", "Si", "Si", "Si", "Si", "Si", "Si", "Si", "Si", "Si", "Si", "Si", "Si", "Si", "Si", "Si", "Si", "Si", "Si", "Si", "Si", "Si", "Si", "Si", "Si", "Si", "Si", "Au", "Au"],
  "fractional_positions": [[0.0000, 0.0000, 0.0000], [0.2500, 0.2568, 0.5240], [0.2500, 0.5115, 0.0103], [0.2500, 0.7672, 0.5230], [0.5000, 0.0000, 0.0000], [0.7500, 0.0103, 0.5115], [0.7500, 0.5230, 0.7672], [0.7500, 0.5240, 0.2568], [0.0000, 0.5126, 0.5126], [0.0561, 0.0134, 0.6290], [0.0564, 0.0141, 0.3930], [0.0638, 0.3253, 0.8292], [0.0638, 0.6927, 0.8268], [0.0653, 0.6940, 0.1987], [0.0661, 0.3259, 0.1979], [0.1287, 0.5090, 0.7044], [0.1324, 0.5097, 0.3215], [0.2500, 0.0101, 0.2616], [0.2500, 0.2041, 0.1302], [0.2500, 0.2048, 0.8946], [0.2500, 0.8134, 0.8922], [0.2500, 0.8151, 0.1312], [0.3676, 0.5097, 0.3215], [0.3713, 0.5090, 0.7044], [0.4339, 0.3259, 0.1979], [0.4347, 0.6940, 0.1987], [0.4362, 0.3253, 0.8292], [0.4362, 0.6927, 0.8268], [0.4439, 0.0134, 0.6290], [0.4436, 0.0141, 0.3930], [0.5000, 0.5126, 0.5126], [0.5564, 0.3930, 0.0141], [0.5561, 0.6290, 0.0134], [0.5638, 0.8268, 0.6927], [0.5638, 0.8292, 0.3253], [0.5653, 0.1987, 0.6940], [0.5661, 0.1979, 0.3259], [0.6287, 0.7044, 0.5090], [0.6324, 0.3215, 0.5097], [0.7500, 0.1302, 0.2041], [0.7500, 0.1312, 0.8151], [0.7500, 0.2616, 0.0101], [0.7500, 0.8922, 0.8134], [0.7500, 0.8946, 0.2048], [0.8676, 0.3215, 0.5097], [0.8713, 0.7044, 0.5090], [0.9339, 0.1979, 0.3259], [0.9347, 0.1987, 0.6940], [0.9362, 0.8268, 0.6927], [0.9362, 0.8292, 0.3253], [0.9436, 0.3930, 0.0141], [0.9439, 0.6290, 0.0134], [0.2500, 0.0099, 0.7623], [0.7500, 0.7623, 0.0099]]
}



| no. | electronic total energy (eV/atom) |
| --- | --- |
| 1 | -47.282 |
| 2 | -16.766 |